Computed, not measured: crystalline InNi2Ag2 at its relaxed geometry at the GGA-PBE level of DFT.

Computed properties:
VASP energy, eV per atom: -3.665
Formation energy, kJ/mol of atoms: 32
Total moment, μB per cell: 2.10
D(E_F), states/eV/atom: 1.31

CIF file:
```
data_InNi2Ag2
_cell_length_a 3.296
_cell_length_b 3.296
_cell_length_c 16.207
_cell_angle_alpha 90.00
_cell_angle_beta 90.00
_cell_angle_gamma 90.00
_space_group_name_H-M_alt 'I 4/m m m'
_space_group_IT_number 139
_space_group_name_Hall '-I 4 2'
loop_
_atom_site_label
_atom_site_fract_x
_atom_site_fract_y
_atom_site_fract_z
_atom_site_occupancy
In1 0.000 0.000 0.000 1
Ni1 0.000 0.500 0.250 1
Ag1 0.000 0.000 0.383 1
```

***

Computed, not measured: crystalline InNi2Ag at its relaxed geometry at the GGA-PBE level of DFT.

Computed properties:
VASP energy, eV per atom: -4.035
Formation energy, kJ/mol of atoms: 24
Total moment, μB per cell: 0.00
D(E_F), states/eV/atom: 0.75

CIF file:
```
data_InNi2Ag
_cell_length_a 2.9314
_cell_length_b 2.9314
_cell_length_c 25.0836
_cell_angle_alpha 90.00
_cell_angle_beta 90.00
_cell_angle_gamma 120.00
_space_group_name_H-M_alt 'R -3 m'
_space_group_IT_number 166
_space_group_name_Hall '-R 3 2"'
loop_
_atom_site_label
_atom_site_fract_x
_atom_site_fract_y
_atom_site_fract_z
_atom_site_occupancy
In1 0.0000 0.0000 0.0000 1
Ni1 0.0000 0.0000 0.2512 1
Ag1 0.0000 0.0000 0.5000 1
```

***

Computed, not measured: crystalline InNiAg2 at its relaxed geometry at the GGA-PBE level of DFT.

Computed properties:
VASP energy, eV per atom: -3.502
Formation energy, kJ/mol of atoms: 5
Total moment, μB per cell: 0.00
D(E_F), states/eV/atom: 0.40

CIF file:
```
data_InNiAg2
_cell_length_a 3.060
_cell_length_b 3.115
_cell_length_c 7.178
_cell_angle_alpha 90.00
_cell_angle_beta 90.24
_cell_angle_gamma 90.00
_space_group_name_H-M_alt 'P 1 m 1'
_space_group_IT_number 6
_space_group_name_Hall 'P -2y'
loop_
_atom_site_label
_atom_site_fract_x
_atom_site_fract_y
_atom_site_fract_z
_atom_site_occupancy
In1 0.000 0.000 0.000 1
Ni1 0.499 0.500 0.786 1
Ag1 0.498 0.500 0.292 1
Ag2 0.999 0.000 0.559 1
```

***

Computed, not measured: crystalline InNi2Ag2 at its relaxed geometry at the GGA-PBE level of DFT.

Computed properties:
VASP energy, eV per atom: -3.692
Formation energy, kJ/mol of atoms: 30
Total moment, μB per cell: 0.00
D(E_F), states/eV/atom: 0.55

CIF file:
```
data_InNi2Ag2
_cell_length_a 3.786
_cell_length_b 3.786
_cell_length_c 12.012
_cell_angle_alpha 90.00
_cell_angle_beta 90.00
_cell_angle_gamma 90.00
_space_group_name_H-M_alt 'I 4/m m m'
_space_group_IT_number 139
_space_group_name_Hall '-I 4 2'
loop_
_atom_site_label
_atom_site_fract_x
_atom_site_fract_y
_atom_site_fract_z
_atom_site_occupancy
In1 0.000 0.000 0.000 1
Ni1 0.000 0.000 0.405 1
Ag1 0.000 0.500 0.250 1
```

***

Computed, not measured: crystalline InNiAg2 at its relaxed geometry at the GGA-PBE level of DFT.

Computed properties:
VASP energy, eV per atom: -3.431
Formation energy, kJ/mol of atoms: 12
Total moment, μB per cell: 0.00
D(E_F), states/eV/atom: 0.55

CIF file:
```
data_InNiAg2
_cell_length_a 2.968
_cell_length_b 4.877
_cell_length_c 4.806
_cell_angle_alpha 90.00
_cell_angle_beta 92.86
_cell_angle_gamma 90.00
_space_group_name_H-M_alt 'P 1 2/m 1'
_space_group_IT_number 10
_space_group_name_Hall '-P 2y'
loop_
_atom_site_label
_atom_site_fract_x
_atom_site_fract_y
_atom_site_fract_z
_atom_site_occupancy
In1 0.000 0.000 0.000 1
Ni1 0.500 0.000 0.500 1
Ag1 0.260 0.500 0.742 1
```

***

Computed, not measured: crystalline InNi2Ag2 at its relaxed geometry at the GGA-PBE level of DFT.

Computed properties:
VASP energy, eV per atom: -3.873
Formation energy, kJ/mol of atoms: 12
Total moment, μB per cell: 0.00
D(E_F), states/eV/atom: 0.49

CIF file:
```
data_InNi2Ag2
_cell_length_a 6.471
_cell_length_b 6.471
_cell_length_c 3.933
_cell_angle_alpha 90.00
_cell_angle_beta 90.00
_cell_angle_gamma 90.00
_space_group_name_H-M_alt 'P 4/m b m'
_space_group_IT_number 127
_space_group_name_Hall '-P 4 2ab'
loop_
_atom_site_label
_atom_site_fract_x
_atom_site_fract_y
_atom_site_fract_z
_atom_site_occupancy
In1 0.000 0.000 0.000 1
Ni1 0.127 0.373 0.000 1
Ag1 0.165 0.665 0.500 1
```

***

Computed, not measured: crystalline In2Ni2Ag at its relaxed geometry at the GGA-PBE level of DFT.

Computed properties:
VASP energy, eV per atom: -3.958
Formation energy, kJ/mol of atoms: 2
Total moment, μB per cell: 0.00
D(E_F), states/eV/atom: 0.54

CIF file:
```
data_In2Ni2Ag
_cell_length_a 7.511
_cell_length_b 7.511
_cell_length_c 2.999
_cell_angle_alpha 90.00
_cell_angle_beta 90.00
_cell_angle_gamma 90.00
_space_group_name_H-M_alt 'P 4/m b m'
_space_group_IT_number 127
_space_group_name_Hall '-P 4 2ab'
loop_
_atom_site_label
_atom_site_fract_x
_atom_site_fract_y
_atom_site_fract_z
_atom_site_occupancy
In1 0.153 0.347 0.000 1
Ni1 0.142 0.642 0.500 1
Ag1 0.000 0.000 0.000 1
```

***

Computed, not measured: crystalline InNi2Ag at its relaxed geometry at the GGA-PBE level of DFT.

Computed properties:
VASP energy, eV per atom: -4.212
Formation energy, kJ/mol of atoms: 7
Total moment, μB per cell: 0.00
D(E_F), states/eV/atom: 0.62

CIF file:
```
data_InNi2Ag
_cell_length_a 9.549
_cell_length_b 2.925
_cell_length_c 4.544
_cell_angle_alpha 90.00
_cell_angle_beta 108.47
_cell_angle_gamma 90.00
_space_group_name_H-M_alt 'C 1 m 1'
_space_group_IT_number 8
_space_group_name_Hall 'C -2y'
loop_
_atom_site_label
_atom_site_fract_x
_atom_site_fract_y
_atom_site_fract_z
_atom_site_occupancy
In1 0.000 0.000 0.000 1
Ni1 0.252 0.500 0.188 1
Ni2 0.466 0.000 0.474 1
Ag1 0.222 0.000 0.663 1
```

***

Computed, not measured: crystalline In2Ni2Ag at its relaxed geometry at the GGA-PBE level of DFT.

Computed properties:
VASP energy, eV per atom: -3.718
Formation energy, kJ/mol of atoms: 25
Total moment, μB per cell: 0.00
D(E_F), states/eV/atom: 0.40

CIF file:
```
data_In2Ni2Ag
_cell_length_a 4.198
_cell_length_b 4.198
_cell_length_c 10.631
_cell_angle_alpha 90.00
_cell_angle_beta 90.00
_cell_angle_gamma 90.00
_space_group_name_H-M_alt 'I 4/m m m'
_space_group_IT_number 139
_space_group_name_Hall '-I 4 2'
loop_
_atom_site_label
_atom_site_fract_x
_atom_site_fract_y
_atom_site_fract_z
_atom_site_occupancy
In1 0.000 0.500 0.250 1
Ni1 0.000 0.000 0.105 1
Ag1 0.000 0.000 0.500 1
```

***

Computed, not measured: crystalline InNiAg3 at its relaxed geometry at the GGA-PBE level of DFT.

Computed properties:
VASP energy, eV per atom: -2.826
Formation energy, kJ/mol of atoms: 57
Total moment, μB per cell: 0.00
D(E_F), states/eV/atom: 0.71

CIF file:
```
data_InNiAg3
_cell_length_a 4.834
_cell_length_b 4.834
_cell_length_c 4.834
_cell_angle_alpha 90.00
_cell_angle_beta 90.00
_cell_angle_gamma 90.00
_space_group_name_H-M_alt 'P m -3 m'
_space_group_IT_number 221
_space_group_name_Hall '-P 4 2 3'
loop_
_atom_site_label
_atom_site_fract_x
_atom_site_fract_y
_atom_site_fract_z
_atom_site_occupancy
In1 0.000 0.000 0.000 1
Ni1 0.500 0.500 0.500 1
Ag1 0.000 0.500 0.500 1
```

***

Computed, not measured: crystalline InNi3Ag at its relaxed geometry at the GGA-PBE level of DFT.

Computed properties:
VASP energy, eV per atom: -3.450
Formation energy, kJ/mol of atoms: 110
Total moment, μB per cell: 0.59
D(E_F), states/eV/atom: 1.08

CIF file:
```
data_InNi3Ag
_cell_length_a 4.626
_cell_length_b 4.626
_cell_length_c 4.626
_cell_angle_alpha 90.00
_cell_angle_beta 90.00
_cell_angle_gamma 90.00
_space_group_name_H-M_alt 'P m -3 m'
_space_group_IT_number 221
_space_group_name_Hall '-P 4 2 3'
loop_
_atom_site_label
_atom_site_fract_x
_atom_site_fract_y
_atom_site_fract_z
_atom_site_occupancy
In1 0.000 0.000 0.000 1
Ni1 0.000 0.500 0.500 1
Ag1 0.500 0.500 0.500 1
```

***

Computed, not measured: crystalline InNi2Ag at its relaxed geometry at the GGA-PBE level of DFT.

Computed properties:
VASP energy, eV per atom: -4.224
Formation energy, kJ/mol of atoms: 6
Total moment, μB per cell: 0.00
D(E_F), states/eV/atom: 0.66

CIF file:
```
data_InNi2Ag
_cell_length_a 3.203
_cell_length_b 3.203
_cell_length_c 5.832
_cell_angle_alpha 90.00
_cell_angle_beta 90.00
_cell_angle_gamma 90.00
_space_group_name_H-M_alt 'P 4/m m m'
_space_group_IT_number 123
_space_group_name_Hall '-P 4 2'
loop_
_atom_site_label
_atom_site_fract_x
_atom_site_fract_y
_atom_site_fract_z
_atom_site_occupancy
In1 0.000 0.000 0.000 1
Ni1 0.500 0.500 0.247 1
Ag1 0.000 0.000 0.500 1
```

***

Computed, not measured: crystalline InNi2Ag at its relaxed geometry at the GGA-PBE level of DFT.

Computed properties:
VASP energy, eV per atom: -4.264
Formation energy, kJ/mol of atoms: 2
Total moment, μB per cell: 0.00
D(E_F), states/eV/atom: 0.56

CIF file:
```
data_InNi2Ag
_cell_length_a 4.132
_cell_length_b 4.132
_cell_length_c 6.973
_cell_angle_alpha 90.00
_cell_angle_beta 90.00
_cell_angle_gamma 90.00
_space_group_name_H-M_alt 'I 4/m m m'
_space_group_IT_number 139
_space_group_name_Hall '-I 4 2'
loop_
_atom_site_label
_atom_site_fract_x
_atom_site_fract_y
_atom_site_fract_z
_atom_site_occupancy
In1 0.000 0.000 0.000 1
Ni1 0.000 0.500 0.250 1
Ag1 0.000 0.000 0.500 1
```

***

Computed, not measured: crystalline InNi2Ag at its relaxed geometry at the GGA-PBE level of DFT.

Computed properties:
VASP energy, eV per atom: -4.215
Formation energy, kJ/mol of atoms: 7
Total moment, μB per cell: 0.00
D(E_F), states/eV/atom: 0.58

CIF file:
```
data_InNi2Ag
_cell_length_a 3.854
_cell_length_b 3.929
_cell_length_c 7.899
_cell_angle_alpha 90.00
_cell_angle_beta 90.00
_cell_angle_gamma 90.00
_space_group_name_H-M_alt 'I m m 2'
_space_group_IT_number 44
_space_group_name_Hall 'I 2 -2'
loop_
_atom_site_label
_atom_site_fract_x
_atom_site_fract_y
_atom_site_fract_z
_atom_site_occupancy
In1 0.000 0.000 0.000 1
Ni1 0.000 0.000 0.496 1
Ni2 0.000 0.500 0.751 1
Ag1 0.000 0.500 0.248 1
```